(1)
CoAgRu: relaxed, GGA-PBE.

a = 7.263 Å, b = 7.042 Å, c = 2.669 Å
α = 83.95°, β = 74.61°, γ = 21.44°
Site moments in Bohr magnetons follow the coordinates.
Positions (direct):
Ru 0.678 0.678 0.322  0.84
Co 0.326 0.326 0.674  1.86
Ag 0.996 0.996 0.004  0.01

* final energy: -0.436 Ry/atom
* polymorph energy (0 for the lowest one): 0.1252 eV/atom

***

(2)
La3PuS4: relaxed, GGA-PBE.

a = 7.117 Å, b = 7.132 Å, c = 8.217 Å
α = 90.00°, β = 90.00°, γ = 109.42°
Site moments in Bohr magnetons follow the coordinates.
Positions (direct):
S 0.999 0.760 0.880  -0.04
S 0.495 0.246 0.370  -0.02
La 0.750 0.500 0.124  0.04
Pu 0.250 0.000 0.122  5.36
La 0.250 0.500 0.876  0.04
La 0.250 0.500 0.373  0.03
La 0.250 0.000 0.626  0.04
S 0.505 0.754 0.630  -0.02
S 0.501 0.240 0.880  -0.04
S 0.995 0.246 0.630  -0.02
La 0.750 0.000 0.374  0.04
S 0.005 0.754 0.370  -0.02
S 0.499 0.760 0.120  -0.04
Pu 0.750 0.000 0.878  5.36
S 0.001 0.240 0.120  -0.04
La 0.750 0.500 0.627  0.03

* final energy: -0.571 Ry/atom
* formation energy (no corrections): -2.0654 eV per atom
* polymorph energy (0 for the lowest one): 0.0000 eV/atom

***

- The lowest final energy belongs to which entry?
  La3PuS4

***

- The lowest final energy belongs to which entry?
  La3PuS4

***

- Among the records above, which one has the lowest polymorph energy (0 for the lowest one)?
  La3PuS4

***

Please write out number 1 again, unchanged.
CoAgRu: relaxed, GGA-PBE.

a = 7.263 Å, b = 7.042 Å, c = 2.669 Å
α = 83.95°, β = 74.61°, γ = 21.44°
Site moments in Bohr magnetons follow the coordinates.
Positions (direct):
Ru 0.678 0.678 0.322  0.84
Co 0.326 0.326 0.674  1.86
Ag 0.996 0.996 0.004  0.01

* final energy: -0.436 Ry/atom
* polymorph energy (0 for the lowest one): 0.1252 eV/atom